The following is a PBE calculation of a relaxed LiMnSn2 crystal, from Alexandria.

Lattice parameters (Å, degrees): 4.971 4.971 3.206 90.00 90.00 90.00
Atoms (fractional coordinates):
Li  0.000  0.000  0.000
Mn  0.500  0.500  0.000
Sn  0.000  0.500  0.500
Sn  0.500  0.000  0.500

Calculated values
Calculated density = 6.273 Mg/m³
Energy of formation = -0.01 eV/atom
Total DFT energy (no corrections) = -4.78 eV/atom
Space-group type = P4/mmm (123)